Crystalline Ti2VB6 at its relaxed geometry. Source: Alexandria, functional PBE.

Cell lengths 5.2336, 5.2336, 3.1544 Å; angles 90.00, 90.00, 120.00 degrees
Closest atoms and distances in Å follow each position.
Element x y z (fractional)
Ti 0.3333 0.6667 0.0000  12 B 2.35
Ti 0.6667 0.3333 0.0000  12 B 2.35
V 0.0000 0.0000 0.0000  12 B 2.35
B 0.0000 0.3318 0.5000  3 B 1.74-1.76
B 0.0000 0.6682 0.5000  3 B 1.74-1.76
B 0.3318 0.0000 0.5000  3 B 1.74-1.76
B 0.3318 0.3318 0.5000  3 B 1.74-1.76
B 0.6682 0.0000 0.5000  3 B 1.74-1.76
B 0.6682 0.6682 0.5000  3 B 1.74-1.76

Computed properties:
Space-group type: P6/mmm (191)
Electronic total energy, eV/atom: -8.173